# 1
TaMn2SbMo: optimized geometry, GGA-PBEsol.

Cell lengths 4.5230, 4.5230, 5.2164 Å; angles 90.00, 90.00, 90.00 degrees
With the nearest neighbours (Å) after each atom.
Sites, in units of the cell vectors:
Ta (0.0000, 0.0000, 0.0000)  4 Mn 2.26
Mn (0.0000, 0.5000, 0.0000)  2 Ta 2.26
Mn (0.5000, 0.0000, 0.0000)  2 Ta 2.26
Sb (0.0000, 0.0000, 0.5000)  2 Ta 2.61
Mo (0.5000, 0.5000, 0.5000)  4 Sb 3.20, 8 Mn 3.45

Calculated values
- Energy relative to the elements, uncorrected: 1.807 eV per atom
- Electronic total energy: -7.873 eV per atom
- Crystal system: tetragonal



# 2
ScMn4Mo: optimized geometry, GGA-PBEsol.

Cell lengths 4.7501, 4.7501, 4.7501 Å; angles 60.00, 60.00, 60.00 degrees
With the nearest neighbours (Å) after each atom.
Sites, in units of the cell vectors:
Sc (0.0000, 0.0000, 0.0000)  12 Mn 2.79, 4 Mo 2.91
Mn (0.3750, 0.3750, 0.3750)  6 Mn 2.37-2.38
Mn (0.3750, 0.3750, 0.8749)  6 Mn 2.37-2.38
Mn (0.3750, 0.8749, 0.3750)  6 Mn 2.37-2.38
Mn (0.8749, 0.3750, 0.3750)  6 Mn 2.37-2.38
Mo (0.7500, 0.7500, 0.7500)  12 Mn 2.78, 4 Sc 2.91

Calculated values
- Electronic total energy: -9.611 eV per atom
- Crystal system: cubic
- DFT formation energy: -0.041 eV/atom



# 3
MnMo2Se: optimized geometry, GGA-PBEsol.

Cell lengths 4.3729, 4.3729, 2.9535 Å; angles 90.00, 90.00, 90.00 degrees
With the nearest neighbours (Å) after each atom.
Sites, in units of the cell vectors:
Mn (0.0000, 0.0000, 0.0000)  8 Mo 2.64, 2 Mn 2.95
Mo (0.0000, 0.5000, 0.5000)  4 Mn 2.64, 4 Se 2.64, 2 Mo 2.95
Mo (0.5000, 0.0000, 0.5000)  4 Mn 2.64, 4 Se 2.64, 2 Mo 2.95
Se (0.5000, 0.5000, 0.0000)  8 Mo 2.64, 2 Se 2.95

Calculated values
- Energy relative to the elements, uncorrected: 0.182 eV per atom
- Electronic total energy: -9.105 eV per atom
- Crystal system: tetragonal



# 4
MnMo2Se: optimized geometry, GGA-PBEsol.

Cell lengths 3.6415, 3.6415, 4.4367 Å; angles 90.00, 90.00, 90.00 degrees
With the nearest neighbours (Å) after each atom.
Sites, in units of the cell vectors:
Mn (0.0000, 0.0000, 0.0000)  4 Se 2.57, 8 Mo 2.87
Mo (0.0000, 0.5000, 0.5000)  4 Mo 2.57, 4 Mn 2.87, 4 Se 2.87
Mo (0.5000, 0.0000, 0.5000)  4 Mo 2.57, 4 Mn 2.87, 4 Se 2.87
Se (0.5000, 0.5000, 0.0000)  4 Mn 2.57, 8 Mo 2.87

Calculated values
- Energy relative to the elements, uncorrected: 0.373 eV per atom
- Electronic total energy: -8.914 eV per atom
- Crystal system: tetragonal



# 5
MnSiMo2: optimized geometry, GGA-PBEsol.

Cell lengths 3.6454, 3.6454, 8.1168 Å; angles 90.00, 90.00, 90.00 degrees
With the nearest neighbours (Å) after each atom.
Sites, in units of the cell vectors:
Mn (0.0000, 0.0000, 0.0000)  4 Si 2.58, 8 Mo 2.73
Mn (0.5000, 0.5000, 0.5000)  4 Si 2.58, 8 Mo 2.73
Si (0.0000, 0.0000, 0.5000)  4 Mn 2.58, 8 Mo 2.73
Si (0.5000, 0.5000, 0.0000)  4 Mn 2.58, 8 Mo 2.73
Mo (0.0000, 0.5000, 0.2500)  4 Mo 2.58, 4 Mn 2.73, 4 Si 2.73
Mo (0.0000, 0.5000, 0.7500)  4 Mo 2.58, 4 Mn 2.73, 4 Si 2.73
Mo (0.5000, 0.0000, 0.2500)  4 Mo 2.58, 4 Mn 2.73, 4 Si 2.73
Mo (0.5000, 0.0000, 0.7500)  4 Mo 2.58, 4 Mn 2.73, 4 Si 2.73

Calculated values
- Energy relative to the elements, uncorrected: -0.129 eV per atom
- Electronic total energy: -9.890 eV per atom
- Crystal system: tetragonal



# 6
MnSi3Mo: optimized geometry, GGA-PBEsol.

Cell lengths 4.6743, 4.6743, 4.6743 Å; angles 90.00, 90.00, 90.00 degrees
With the nearest neighbours (Å) after each atom.
Sites, in units of the cell vectors:
Mn (0.0000, 0.0000, 0.0000)  12 Si 3.31
Si (0.0000, 0.5000, 0.5000)  2 Mo 2.34
Si (0.5000, 0.0000, 0.5000)  2 Mo 2.34
Si (0.5000, 0.5000, 0.0000)  2 Mo 2.34
Mo (0.5000, 0.5000, 0.5000)  6 Si 2.34

Calculated values
- Energy relative to the elements, uncorrected: 0.857 eV per atom
- Electronic total energy: -6.897 eV per atom
- Crystal system: cubic



# 7
MnSiMo2: optimized geometry, GGA-PBEsol.

Cell lengths 2.7345, 3.9739, 4.9820 Å; angles 90.00, 90.00, 90.00 degrees
With the nearest neighbours (Å) after each atom.
Sites, in units of the cell vectors:
Mn (0.0000, 0.0000, 0.0000)  1 Mo 2.26
Si (0.5000, 0.5000, 0.7787)  6 Mo 2.42-2.68, 4 Mn 2.65
Mo (0.0000, 0.0000, 0.5460)  1 Mn 2.26
Mo (0.5000, 0.5000, 0.2649)  2 Si 2.42-2.56

Calculated values
- Energy relative to the elements, uncorrected: -0.002 eV per atom
- Electronic total energy: -9.763 eV per atom
- Crystal system: orthorhombic



# 8
YMn2SiMo: optimized geometry, GGA-PBEsol.

Cell lengths 4.5434, 4.5434, 5.0208 Å; angles 90.00, 90.00, 90.00 degrees
With the nearest neighbours (Å) after each atom.
Sites, in units of the cell vectors:
Y (0.0000, 0.0000, 0.0000)  4 Mn 2.27, 2 Si 2.51
Mn (0.0000, 0.5000, 0.0000)  2 Y 2.27
Mn (0.5000, 0.0000, 0.0000)  2 Y 2.27
Si (0.0000, 0.0000, 0.5000)  2 Y 2.51
Mo (0.5000, 0.5000, 0.5000)  4 Si 3.21, 8 Mn 3.39

Calculated values
- Energy relative to the elements, uncorrected: 2.135 eV per atom
- Electronic total energy: -6.637 eV per atom
- Crystal system: tetragonal